## SiHgIr3 (PBE-GGA)

Data for SiHgIr3 after structural relaxation.

a = 4.913 Å, b = 4.913 Å, c = 4.913 Å
α = 90.00°, β = 90.00°, γ = 90.00°
Positions (direct):
Si 0.500 0.500 0.500
Ir 0.000 0.500 0.000
Ir 0.000 0.000 0.500
Ir 0.500 0.000 0.000
Hg 0.000 0.000 0.000

Values from the calculation:
formation energy without anion corrections: 12.818 eV per formula unit
V: 118.6 Å³ per cell
energy above the lowest structure with this stoichiometry: 1936 meV per atom